Here is a relaxed structure of Na2Sr8Rh from the Alexandria database. Energies are from PBE-GGA.

Calculated values
Its calculated total energy is -2.15 eV per atom. The calculation puts the formation enthalpy at 0 K at -0.020 eV/atom. For the total moment, the calculation gives 0.00 μB per formula unit. The value obtained for the volume is 45.21 Å³ per atom.

Cell lengths 21.1877, 6.3720, 7.8770 Å; angles 90.00, 110.74, 90.00 degrees
Space group C2/m (No. 12)
Asymmetric unit:
Na 0.1825 0.0000 0.2320 [4 per cell]
Sr 0.0134 0.0000 0.2884 [4 per cell]
Sr 0.0858 0.5000 0.8934 [4 per cell]
Sr 0.1299 0.5000 0.4471 [4 per cell]
Sr 0.2059 0.0000 0.7888 [4 per cell]
Rh 0.0000 0.5000 0.5000 [2 per cell]


Here is a relaxed structure of NaSr3Rh from the Alexandria database. Energies are from PBE-GGA.

Calculated values
Its calculated total energy is -2.88 eV per atom. The calculation puts the formation enthalpy at 0 K at -0.134 eV/atom. For the total moment, the calculation gives 0.00 μB per formula unit. The value obtained for the volume is 37.66 Å³ per atom.

Cell lengths 8.9979, 4.3517, 9.9888 Å; angles 90.00, 105.68, 90.00 degrees
Space group P2_1/m (No. 11)
Asymmetric unit:
Na 0.0661 0.2500 0.1530 [2 per cell]
Sr 0.2273 0.2500 0.6815 [2 per cell]
Sr 0.3499 0.7500 0.3947 [2 per cell]
Sr 0.3539 0.7500 0.0366 [2 per cell]
Rh 0.4798 0.7500 0.7434 [2 per cell]


Here is a relaxed structure of NaSr3Rh from the Alexandria database. Energies are from PBE-GGA.

Calculated values
Its calculated total energy is -2.78 eV per atom. The calculation puts the formation enthalpy at 0 K at -0.040 eV/atom. For the total moment, the calculation gives 0.00 μB per formula unit. The value obtained for the volume is 35.14 Å³ per atom.

Cell lengths 5.8031, 5.8031, 12.0501 Å; angles 90.00, 90.00, 120.00 degrees
Space group P6_3/mmc (No. 194)
Asymmetric unit:
Na 0.3333 0.6667 0.2500 [2 per cell]
Sr 0.0000 0.0000 0.2500 [2 per cell]
Sr 0.3333 0.6667 0.5598 [4 per cell]
Rh 0.0000 0.0000 0.0000 [2 per cell]


Here is a relaxed structure of NaSr3Rh from the Alexandria database. Energies are from PBE-GGA.

Calculated values
Its calculated total energy is -1.84 eV per atom. The calculation puts the formation enthalpy at 0 K at 0.905 eV/atom. For the total moment, the calculation gives 0.00 μB per formula unit. The value obtained for the volume is 43.28 Å³ per atom.

Cell lengths 6.0036, 6.0036, 6.0036 Å; angles 90.00, 90.00, 90.00 degrees
Space group Pm-3m (No. 221)
Asymmetric unit:
Na 0.0000 0.0000 0.0000 [1 per cell]
Sr 0.0000 0.0000 0.5000 [3 per cell]
Rh 0.5000 0.5000 0.5000 [1 per cell]


Here is a relaxed structure of NaSr3Rh from the Alexandria database. Energies are from PBE-GGA.

Calculated values
Its calculated total energy is -2.86 eV per atom. The calculation puts the formation enthalpy at 0 K at -0.121 eV/atom. For the total moment, the calculation gives 0.00 μB per formula unit. The value obtained for the volume is 40.27 Å³ per atom.

Cell lengths 18.1138, 4.4554, 9.9837 Å; angles 90.00, 91.43, 90.00 degrees
Space group C2/m (No. 12)
Asymmetric unit:
Na 0.0952 0.0000 0.4352 [4 per cell]
Sr 0.0599 0.5000 0.7498 [4 per cell]
Sr 0.1204 0.0000 0.0538 [4 per cell]
Sr 0.2441 0.0000 0.7392 [4 per cell]
Rh 0.2077 0.5000 0.9334 [4 per cell]


Here is a relaxed structure of NaSr2Rh2 from the Alexandria database. Energies are from PBE-GGA.

Calculated values
Its calculated total energy is -3.90 eV per atom. The calculation puts the formation enthalpy at 0 K at -0.022 eV/atom. For the total moment, the calculation gives 0.00 μB per formula unit. The value obtained for the volume is 26.21 Å³ per atom.

Cell lengths 7.7331, 7.7331, 4.3822 Å; angles 90.00, 90.00, 90.00 degrees
Space group P4/mbm (No. 127)
Asymmetric unit:
Na 0.0000 0.0000 0.0000 [2 per cell]
Sr 0.1695 0.3305 0.5000 [4 per cell]
Rh 0.1200 0.6200 0.0000 [4 per cell]


Number 2 is which compound?
NaSr3Rh